# Ca2AcZn3

A relaxed Ca2AcZn3 crystal (PBE-GGA, Alexandria via LeMat-Bulk).

a = 5.330 Å, b = 5.330 Å, c = 6.567 Å
α = 90.00°, β = 90.00°, γ = 120.00°
Atoms (fractional coordinates):
1 Ca 0.333 0.667 0.154
2 Ca 0.667 0.333 0.846
3 Ac 0.000 0.000 0.500
4 Zn 0.000 0.000 0.000
5 Zn 0.333 0.667 0.671
6 Zn 0.667 0.333 0.329

Output
Crystal system: trigonal
Energy relative to the lowest polymorph listed for this composition: 0.0 kJ per mole of atoms
Calculated formation energy: -0.252 eV/atom
E_tot: -13.45 eV per cell
Fermi-level density of states: 0.76 states/eV/atom



# CaAc3Zn

A relaxed CaAc3Zn crystal (PBE-GGA, Alexandria via LeMat-Bulk).

a = 7.946 Å, b = 7.946 Å, c = 8.472 Å
α = 119.24°, β = 119.24°, γ = 73.68°
Atoms (fractional coordinates):
1 Ca 0.069 0.069 0.258
2 Ca 0.931 0.931 0.742
3 Ac 0.002 0.411 0.735
4 Ac 0.411 0.002 0.735
5 Ac 0.463 0.463 0.692
6 Ac 0.537 0.537 0.308
7 Ac 0.589 0.998 0.265
8 Ac 0.998 0.589 0.265
9 Zn 0.228 0.228 0.074
10 Zn 0.772 0.772 0.926

Output
Crystal system: monoclinic
Calculated formation energy: 0.033 eV/atom
E_tot: -30.87 eV per cell
Fermi-level density of states: 1.54 states/eV/atom



# Ca2AcZn

A relaxed Ca2AcZn crystal (PBE-GGA, Alexandria via LeMat-Bulk).

a = 12.024 Å, b = 12.024 Å, c = 12.024 Å
α = 18.24°, β = 18.24°, γ = 18.24°
Atoms (fractional coordinates):
1 Ca 0.106 0.106 0.106
2 Ca 0.894 0.894 0.894
3 Ac 0.000 0.000 0.000
4 Zn 0.500 0.500 0.500

Output
Crystal system: trigonal
Energy relative to the lowest polymorph listed for this composition: 23.1 kJ per mole of atoms
Calculated formation energy: 0.111 eV/atom
E_tot: -8.94 eV per cell
Fermi-level density of states: 1.33 states/eV/atom



# Ca3AcZn

A relaxed Ca3AcZn crystal (PBE-GGA, Alexandria via LeMat-Bulk).

a = 7.133 Å, b = 7.133 Å, c = 14.344 Å
α = 112.43°, β = 112.43°, γ = 33.24°
Atoms (fractional coordinates):
1 Ca 0.000 0.000 0.000
2 Ca 0.194 0.194 0.478
3 Ca 0.235 0.235 0.853
4 Ca 0.527 0.527 0.241
5 Ca 0.564 0.564 0.627
6 Ca 0.886 0.886 0.713
7 Ac 0.761 0.761 0.094
8 Ac 0.877 0.877 0.385
9 Zn 0.199 0.199 0.241
10 Zn 0.561 0.561 0.858

Output
Crystal system: monoclinic
Energy relative to the lowest polymorph listed for this composition: 0.0 kJ per mole of atoms
Calculated formation energy: -0.075 eV/atom
E_tot: -23.52 eV per cell
Fermi-level density of states: 1.40 states/eV/atom



# Ac2Cd

A relaxed Ac2Cd crystal (PBE-GGA, Alexandria via LeMat-Bulk).

a = 5.619 Å, b = 5.619 Å, c = 5.619 Å
α = 119.92°, β = 119.92°, γ = 90.14°
Atoms (fractional coordinates):
1 Ac 0.250 0.750 0.500
2 Ac 0.750 0.250 0.500
3 Cd 0.000 0.000 0.000

Output
Crystal system: tetragonal
Energy relative to the lowest polymorph listed for this composition: 21.5 kJ per mole of atoms
Calculated formation energy: 0.027 eV/atom
E_tot: -9.05 eV per cell
Fermi-level density of states: 1.70 states/eV/atom



# AcCd11

A relaxed AcCd11 crystal (PBE-GGA, Alexandria via LeMat-Bulk).

a = 9.371 Å, b = 9.371 Å, c = 9.371 Å
α = 100.23°, β = 100.23°, γ = 130.14°
Atoms (fractional coordinates):
1 Ac 0.375 0.625 0.750
2 Ac 0.625 0.375 0.250
3 Cd 0.000 0.000 0.000
4 Cd 0.000 0.000 0.500
5 Cd 0.000 0.500 0.000
6 Cd 0.125 0.875 0.250
7 Cd 0.127 0.552 0.334
8 Cd 0.127 0.793 0.575
9 Cd 0.207 0.282 0.334
10 Cd 0.207 0.873 0.925
11 Cd 0.282 0.207 0.834
12 Cd 0.282 0.448 0.075
13 Cd 0.448 0.282 0.575
14 Cd 0.448 0.873 0.166
15 Cd 0.500 0.000 0.500
16 Cd 0.552 0.127 0.834
17 Cd 0.552 0.718 0.425
18 Cd 0.718 0.552 0.925
19 Cd 0.718 0.793 0.166
20 Cd 0.793 0.127 0.075
21 Cd 0.793 0.718 0.666
22 Cd 0.873 0.207 0.425
23 Cd 0.873 0.448 0.666
24 Cd 0.875 0.125 0.750

Output
Crystal system: tetragonal
Calculated formation energy: -0.144 eV/atom
E_tot: -31.81 eV per cell
Fermi-level density of states: 0.38 states/eV/atom



# Ac2Cd

A relaxed Ac2Cd crystal (PBE-GGA, Alexandria via LeMat-Bulk).

a = 7.480 Å, b = 7.480 Å, c = 7.480 Å
α = 148.51°, β = 148.51°, γ = 45.14°
Atoms (fractional coordinates):
1 Ac 0.148 0.148 0.000
2 Ac 0.852 0.852 0.000
3 Cd 0.500 0.500 0.000

Output
Crystal system: tetragonal
Energy relative to the lowest polymorph listed for this composition: 0.5 kJ per mole of atoms
Calculated formation energy: -0.191 eV/atom
E_tot: -9.71 eV per cell
Fermi-level density of states: 1.35 states/eV/atom



# Ac5Cd2

A relaxed Ac5Cd2 crystal (PBE-GGA, Alexandria via LeMat-Bulk).

a = 9.352 Å, b = 9.352 Å, c = 10.434 Å
α = 100.64°, β = 100.64°, γ = 37.67°
Atoms (fractional coordinates):
1 Ac 0.014 0.513 0.671
2 Ac 0.115 0.615 0.038
3 Ac 0.249 0.751 0.750
4 Ac 0.385 0.885 0.462
5 Ac 0.487 0.986 0.829
6 Ac 0.513 0.014 0.171
7 Ac 0.615 0.115 0.538
8 Ac 0.751 0.249 0.250
9 Ac 0.885 0.385 0.962
10 Ac 0.986 0.487 0.329
11 Cd 0.184 0.682 0.394
12 Cd 0.318 0.816 0.106
13 Cd 0.682 0.184 0.894
14 Cd 0.816 0.318 0.606

Output
Crystal system: monoclinic
Calculated formation energy: -0.103 eV/atom
E_tot: -46.19 eV per cell
Fermi-level density of states: 1.07 states/eV/atom



# Ac2Cd7

A relaxed Ac2Cd7 crystal (PBE-GGA, Alexandria via LeMat-Bulk).

a = 15.013 Å, b = 15.013 Å, c = 15.013 Å
α = 23.79°, β = 23.79°, γ = 23.79°
Atoms (fractional coordinates):
1 Ac 0.052 0.052 0.052
2 Ac 0.150 0.150 0.150
3 Ac 0.850 0.850 0.850
4 Ac 0.948 0.948 0.948
5 Cd 0.000 0.500 0.500
6 Cd 0.106 0.613 0.613
7 Cd 0.278 0.278 0.278
8 Cd 0.387 0.387 0.894
9 Cd 0.387 0.894 0.387
10 Cd 0.389 0.389 0.389
11 Cd 0.500 0.000 0.500
12 Cd 0.500 0.500 0.000
13 Cd 0.500 0.500 0.500
14 Cd 0.611 0.611 0.611
15 Cd 0.613 0.106 0.613
16 Cd 0.613 0.613 0.106
17 Cd 0.722 0.722 0.722
18 Cd 0.894 0.387 0.387

Output
Crystal system: trigonal
Calculated formation energy: -0.251 eV/atom
E_tot: -33.76 eV per cell
Fermi-level density of states: 0.65 states/eV/atom



# Ac5Cd3

A relaxed Ac5Cd3 crystal (PBE-GGA, Alexandria via LeMat-Bulk).

a = 4.073 Å, b = 4.073 Å, c = 17.796 Å
α = 90.00°, β = 90.00°, γ = 90.00°
Atoms (fractional coordinates):
1 Ac 0.000 0.000 0.000
2 Ac 0.000 0.000 0.228
3 Ac 0.000 0.000 0.772
4 Ac 0.500 0.500 0.386
5 Ac 0.500 0.500 0.614
6 Cd 0.000 0.000 0.500
7 Cd 0.500 0.500 0.116
8 Cd 0.500 0.500 0.884

Output
Crystal system: tetragonal
Calculated formation energy: -0.215 eV/atom
E_tot: -25.01 eV per cell
Fermi-level density of states: 1.38 states/eV/atom



# Ac3Cd2

A relaxed Ac3Cd2 crystal (PBE-GGA, Alexandria via LeMat-Bulk).

a = 4.059 Å, b = 4.059 Å, c = 21.972 Å
α = 90.00°, β = 90.00°, γ = 90.00°
Atoms (fractional coordinates):
1 Ac 0.000 0.000 0.000
2 Ac 0.000 0.000 0.186
3 Ac 0.000 0.000 0.373
4 Ac 0.000 0.000 0.627
5 Ac 0.000 0.000 0.814
6 Ac 0.500 0.500 0.500
7 Cd 0.500 0.500 0.093
8 Cd 0.500 0.500 0.281
9 Cd 0.500 0.500 0.719
10 Cd 0.500 0.500 0.907

Output
Crystal system: tetragonal
Energy relative to the lowest polymorph listed for this composition: 0.0 kJ per mole of atoms
Calculated formation energy: -0.234 eV/atom
E_tot: -30.65 eV per cell
Fermi-level density of states: 1.34 states/eV/atom



# Ac3Cd

A relaxed Ac3Cd crystal (PBE-GGA, Alexandria via LeMat-Bulk).

a = 5.367 Å, b = 5.367 Å, c = 5.367 Å
α = 90.00°, β = 90.00°, γ = 90.00°
Atoms (fractional coordinates):
1 Ac 0.000 0.000 0.500
2 Ac 0.000 0.500 0.000
3 Ac 0.500 0.000 0.000
4 Cd 0.500 0.500 0.500

Output
Crystal system: cubic
Energy relative to the lowest polymorph listed for this composition: 10.5 kJ per mole of atoms
Calculated formation energy: -0.039 eV/atom
E_tot: -13.40 eV per cell
Fermi-level density of states: 1.81 states/eV/atom



# Ac3Cd

A relaxed Ac3Cd crystal (PBE-GGA, Alexandria via LeMat-Bulk).

a = 7.298 Å, b = 7.298 Å, c = 7.298 Å
α = 146.86°, β = 60.72°, γ = 130.67°
Atoms (fractional coordinates):
1 Ac 0.000 0.000 0.000
2 Ac 0.282 0.501 0.781
3 Ac 0.720 0.501 0.219
4 Cd 0.499 0.999 0.500

Output
Crystal system: orthorhombic
Energy relative to the lowest polymorph listed for this composition: 3.3 kJ per mole of atoms
Calculated formation energy: -0.113 eV/atom
E_tot: -13.69 eV per cell
Fermi-level density of states: 1.20 states/eV/atom



# Ac2Cd

A relaxed Ac2Cd crystal (PBE-GGA, Alexandria via LeMat-Bulk).

a = 7.091 Å, b = 7.091 Å, c = 7.091 Å
α = 60.00°, β = 60.00°, γ = 60.00°
Atoms (fractional coordinates):
1 Ac 0.000 0.000 0.000
2 Ac 0.000 0.000 0.500
3 Ac 0.000 0.500 0.000
4 Ac 0.500 0.000 0.000
5 Cd 0.375 0.375 0.375
6 Cd 0.625 0.625 0.625

Output
Crystal system: cubic
Energy relative to the lowest polymorph listed for this composition: 59.7 kJ per mole of atoms
Calculated formation energy: 0.423 eV/atom
E_tot: -15.73 eV per cell
Fermi-level density of states: 1.69 states/eV/atom



# Ac3Cd

A relaxed Ac3Cd crystal (PBE-GGA, Alexandria via LeMat-Bulk).

a = 4.035 Å, b = 4.035 Å, c = 9.721 Å
α = 90.00°, β = 90.00°, γ = 90.00°
Atoms (fractional coordinates):
1 Ac 0.000 0.000 0.000
2 Ac 0.500 0.500 0.285
3 Ac 0.500 0.500 0.715
4 Cd 0.000 0.000 0.500

Output
Crystal system: tetragonal
Energy relative to the lowest polymorph listed for this composition: 0.0 kJ per mole of atoms
Calculated formation energy: -0.147 eV/atom
E_tot: -13.83 eV per cell
Fermi-level density of states: 1.31 states/eV/atom



# Ac4Cd

A relaxed Ac4Cd crystal (PBE-GGA, Alexandria via LeMat-Bulk).

a = 9.230 Å, b = 7.627 Å, c = 10.838 Å
α = 56.84°, β = 43.77°, γ = 79.40°
Atoms (fractional coordinates):
1 Ac 0.033 0.509 0.856
2 Ac 0.042 0.958 0.177
3 Ac 0.073 0.427 0.208
4 Ac 0.394 0.648 0.217
5 Ac 0.427 0.073 0.292
6 Ac 0.509 0.033 0.602
7 Ac 0.648 0.394 0.741
8 Ac 0.958 0.042 0.823
9 Cd 0.596 0.596 0.404
10 Cd 0.846 0.846 0.654

Output
Crystal system: orthorhombic
Energy relative to the lowest polymorph listed for this composition: 0.0 kJ per mole of atoms
Calculated formation energy: -0.021 eV/atom
E_tot: -34.91 eV per cell
Fermi-level density of states: 1.25 states/eV/atom



# Ac4Cd

A relaxed Ac4Cd crystal (PBE-GGA, Alexandria via LeMat-Bulk).

a = 6.248 Å, b = 6.248 Å, c = 6.248 Å
α = 90.00°, β = 90.00°, γ = 90.00°
Atoms (fractional coordinates):
1 Ac 0.000 0.000 0.000
2 Ac 0.000 0.500 0.500
3 Ac 0.500 0.000 0.500
4 Ac 0.500 0.500 0.000
5 Cd 0.500 0.500 0.500

Output
Crystal system: cubic
Energy relative to the lowest polymorph listed for this composition: 26.8 kJ per mole of atoms
Calculated formation energy: 0.257 eV/atom
E_tot: -16.06 eV per cell
Fermi-level density of states: 1.47 states/eV/atom



# Ac13Cd2

A relaxed Ac13Cd2 crystal (PBE-GGA, Alexandria via LeMat-Bulk).

a = 7.109 Å, b = 9.376 Å, c = 10.455 Å
α = 68.87°, β = 78.35°, γ = 81.89°
Atoms (fractional coordinates):
1 Ac 0.000 0.000 0.000
2 Ac 0.048 0.421 0.700
3 Ac 0.211 0.178 0.233
4 Ac 0.250 0.595 0.947
5 Ac 0.283 0.989 0.647
6 Ac 0.461 0.371 0.414
7 Ac 0.477 0.794 0.155
8 Ac 0.523 0.206 0.845
9 Ac 0.539 0.629 0.586
10 Ac 0.717 0.011 0.353
11 Ac 0.750 0.405 0.053
12 Ac 0.789 0.822 0.767
13 Ac 0.952 0.579 0.300
14 Cd 0.127 0.794 0.456
15 Cd 0.873 0.206 0.544

Output
Crystal system: triclinic
Calculated formation energy: -0.041 eV/atom
E_tot: -55.86 eV per cell
Fermi-level density of states: 1.41 states/eV/atom



# Ac6Cd5

A relaxed Ac6Cd5 crystal (PBE-GGA, Alexandria via LeMat-Bulk).

a = 9.876 Å, b = 9.876 Å, c = 9.876 Å
α = 146.41°, β = 131.22°, γ = 60.53°
Atoms (fractional coordinates):
1 Ac 0.083 0.336 0.747
2 Ac 0.247 0.000 0.247
3 Ac 0.411 0.664 0.747
4 Ac 0.589 0.336 0.253
5 Ac 0.753 0.000 0.753
6 Ac 0.917 0.664 0.253
7 Cd 0.170 0.170 0.000
8 Cd 0.333 0.833 0.500
9 Cd 0.500 0.500 0.000
10 Cd 0.667 0.167 0.500
11 Cd 0.830 0.830 0.000

Output
Crystal system: orthorhombic
Calculated formation energy: -0.216 eV/atom
E_tot: -31.61 eV per cell
Fermi-level density of states: 1.36 states/eV/atom



# AcCd2

A relaxed AcCd2 crystal (PBE-GGA, Alexandria via LeMat-Bulk).

a = 6.444 Å, b = 6.444 Å, c = 6.444 Å
α = 132.87°, β = 103.13°, γ = 95.30°
Atoms (fractional coordinates):
1 Ac 0.282 0.032 0.250
2 Ac 0.718 0.968 0.750
3 Cd 0.117 0.665 0.451
4 Cd 0.286 0.335 0.951
5 Cd 0.714 0.665 0.049
6 Cd 0.883 0.335 0.549

Output
Crystal system: orthorhombic
Energy relative to the lowest polymorph listed for this composition: 0.0 kJ per mole of atoms
Calculated formation energy: -0.338 eV/atom
E_tot: -13.90 eV per cell
Fermi-level density of states: 1.05 states/eV/atom